Computed, not measured: a PBEsol-optimized structure of InBiMo3 at the meta-GGA SCAN level of DFT.

Summary:
density of states at the Fermi level: 5.97 states/eV per cell
magnetic moment: 0.00 μB per cell
calculated density: 8.32 g cm⁻³
E_tot: -40.99 eV per atom
calculated formation energy: 11.7 eV per formula unit

Cell lengths 4.961, 4.961, 4.961 Å; angles 90.00, 90.00, 90.00 degrees
Space group Pm-3m (No. 221)
One atom of each set of equivalent atoms:
In 0.000 0.000 0.000 x1
Bi 0.500 0.500 0.500 x1
Mo 0.000 0.500 0.500 x3